# 1
# TcNiSb2Te | Alexandria | PBE-GGA | optimized geometry
# DOS(E_F) = 1.01 states/eV per atom
# Excess energy over the best structure of this formula in the dataset = 0.0 meV per atom
# Magnetization = 2.76 μB per cell
# Density = 7.2 g/cm3
data_TcNiSb2Te
_symmetry_space_group_name_H-M 'P 4/m m m'
_symmetry_Int_Tables_number 123
_symmetry_space_group_name_Hall '-P 4 2'
_cell_length_a 4.860
_cell_length_b 4.860
_cell_length_c 5.144
_cell_angle_alpha 90.00
_cell_angle_beta 90.00
_cell_angle_gamma 90.00
loop_
_atom_site_label
_atom_site_fract_x
_atom_site_fract_y
_atom_site_fract_z
_atom_site_occupancy
Tc1 0.000 0.000 0.000 1
Ni1 0.500 0.500 0.500 1
Sb1 0.000 0.500 0.500 1
Te1 0.500 0.500 0.000 1

***

# 2
# TcNiSbTe2 | Alexandria | PBE-GGA | optimized geometry
# DOS(E_F) = 0.99 states/eV per atom
# Excess energy over the best structure of this formula in the dataset = 0.0 meV per atom
# Magnetization = 3.14 μB per cell
# Density = 7.1 g/cm3
data_TcNiSbTe2
_symmetry_space_group_name_H-M 'P 4/m m m'
_symmetry_Int_Tables_number 123
_symmetry_space_group_name_Hall '-P 4 2'
_cell_length_a 5.098
_cell_length_b 5.098
_cell_length_c 4.802
_cell_angle_alpha 90.00
_cell_angle_beta 90.00
_cell_angle_gamma 90.00
loop_
_atom_site_label
_atom_site_fract_x
_atom_site_fract_y
_atom_site_fract_z
_atom_site_occupancy
Tc1 0.000 0.000 0.000 1
Ni1 0.500 0.500 0.500 1
Sb1 0.500 0.500 0.000 1
Te1 0.000 0.500 0.500 1

***

# 3
# TcNiSb2Te | Alexandria | PBE-GGA | optimized geometry
# DOS(E_F) = 1.13 states/eV per atom
# Excess energy over the best structure of this formula in the dataset = 45.6 meV per atom
# Magnetization = 0.63 μB per cell
# Density = 6.5 g/cm3
data_TcNiSb2Te
_symmetry_space_group_name_H-M 'P 4/m m m'
_symmetry_Int_Tables_number 123
_symmetry_space_group_name_Hall '-P 4 2'
_cell_length_a 5.098
_cell_length_b 5.098
_cell_length_c 5.217
_cell_angle_alpha 90.00
_cell_angle_beta 90.00
_cell_angle_gamma 90.00
loop_
_atom_site_label
_atom_site_fract_x
_atom_site_fract_y
_atom_site_fract_z
_atom_site_occupancy
Tc1 0.000 0.000 0.000 1
Ni1 0.500 0.500 0.500 1
Sb1 0.000 0.500 0.000 1
Te1 0.000 0.000 0.500 1

***

# 4
# TiTcNiSb | Alexandria | PBE-GGA | optimized geometry
# Total energy = -7.264 eV/atom
# DOS(E_F) = 1.26 states/eV per atom
# Magnetization = 0.00 μB per cell
# Density = 8.8 g/cm3
data_TiTcNiSb
_symmetry_space_group_name_H-M 'F -4 3 m'
_symmetry_Int_Tables_number 216
_symmetry_space_group_name_Hall 'F -4 2 3'
_cell_length_a 6.264
_cell_length_b 6.264
_cell_length_c 6.264
_cell_angle_alpha 90.00
_cell_angle_beta 90.00
_cell_angle_gamma 90.00
loop_
_atom_site_label
_atom_site_fract_x
_atom_site_fract_y
_atom_site_fract_z
_atom_site_occupancy
Ti1 0.000 0.000 0.000 1
Tc1 0.250 0.250 0.250 1
Ni1 0.250 0.250 0.750 1
Sb1 0.000 0.000 0.500 1